Entry from Alexandria via LeMat-Bulk: EuGa3Fe after structural relaxation (PBE-GGA).

Lattice parameters (Å, degrees): 4.6131 4.6131 4.6131 90.00 90.00 90.00
Last column: nearest neighbours and their distance in Å.
Element x y z (fractional)
Ga (0.5000, 0.0000, 0.0000)  2 Fe 2.31
Ga (0.0000, 0.0000, 0.5000)  2 Fe 2.31
Ga (0.0000, 0.5000, 0.0000)  2 Fe 2.31
Eu (0.5000, 0.5000, 0.5000)  12 Ga 3.26
Fe (0.0000, 0.0000, 0.0000)  6 Ga 2.31

As for the density of states at the Fermi level: 5.86 states/eV/f.u. The value obtained for the formation energy is -394 meV/atom.